Entry 1:
# PuThIr2, relaxed, DFT PBE
# Total magnetic moment in μB per cell: 5.0
# Formation energy from the elements in eV/atom: -0.73
# ρ in Mg/m³: 15.91
# Total DFT energy (no corrections) in eV per atom: -10.595
# Energy above the most stable polymorph in this dataset in eV per atom: 0.000
data_PuThIr2
_cell_length_a 3.919
_cell_length_b 4.137
_cell_length_c 5.876
_cell_angle_alpha 90.00
_cell_angle_beta 109.54
_cell_angle_gamma 90.00
_symmetry_space_group_name_H-M 'P 1'
_symmetry_Int_Tables_number 1
loop_
_symmetry_equiv_pos_as_xyz
'x,y,z'
loop_
_atom_site_label
_atom_site_type_symbol
_atom_site_fract_x
_atom_site_fract_y
_atom_site_fract_z
Th1 Th 0.443 0.500 0.425
Ir1 Ir 0.989 0.000 0.518
Pu1 Pu 0.719 0.000 0.977
Ir2 Ir 0.179 0.500 0.897

=====

Entry 2:
# PuThIr2, relaxed, DFT PBE
# Total magnetic moment in μB per cell: 5.2
# Formation energy from the elements in eV/atom: -0.59
# ρ in Mg/m³: 16.53
# Total DFT energy (no corrections) in eV per atom: -10.457
# Energy above the most stable polymorph in this dataset in eV per atom: 0.137
data_PuThIr2
_cell_length_a 4.963
_cell_length_b 4.963
_cell_length_c 4.963
_cell_angle_alpha 60.00
_cell_angle_beta 60.00
_cell_angle_gamma 60.00
_symmetry_space_group_name_H-M 'P 1'
_symmetry_Int_Tables_number 1
loop_
_symmetry_equiv_pos_as_xyz
'x,y,z'
loop_
_atom_site_label
_atom_site_type_symbol
_atom_site_fract_x
_atom_site_fract_y
_atom_site_fract_z
Ir1 Ir 0.250 0.250 0.250
Ir2 Ir 0.750 0.750 0.750
Th1 Th 0.500 0.500 0.500
Pu1 Pu 0.000 0.000 0.000